Computed, not measured: a relaxed structure of Ti4Be2Si at the PBE level of DFT. Values from VASP.

Calculated values
As for the uncorrected formation energy: 0.44 eV/atom. The crystal system is tetragonal. Its density is 3.24 g cm⁻³. Its total energy is -41.38 eV/cell.

```
&SYSTEM
  ibrav = 0, nat = 7, ntyp = 3
/
ATOMIC_SPECIES
Ti 47.87 Ti.upf
Be 9.01 Be.upf
Si 28.09 Si.upf
CELL_PARAMETERS angstrom
4.5810 0.0000 0.0000
0.0000 4.5810 0.0000
2.2905 2.2905 5.8014
ATOMIC_POSITIONS angstrom
Ti 0.0000 2.2905 0.0000
Ti 4.5810 4.5810 2.3620
Ti 2.2905 2.2905 3.4394
Ti 2.2905 0.0000 0.0000
Be 2.2905 2.2905 1.0608
Be 4.5810 4.5810 4.7405
Si 0.0000 0.0000 0.0000
```